# 1
This record from Alexandria via LeMat-Bulk describes Al12Zn5Ga2 after structural relaxation. The functional is PBE-GGA.

Geometry as CIF:
```
data_Al12Zn5Ga2
_space_group_name_H-M_alt 'C 1 2/m 1'
_space_group_IT_number 12
_cell_length_a 15.230
_cell_length_b 5.592
_cell_length_c 8.661
_cell_angle_alpha 90.00
_cell_angle_beta 107.57
_cell_angle_gamma 90.00
loop_
_space_group_symop_operation_xyz
'x,y,z'
'-x,-y,-z'
'-x,y,-z'
'x,-y,z'
'x+1/2,y+1/2,z'
'-x+1/2,-y+1/2,-z'
'-x+1/2,y+1/2,-z'
'x+1/2,-y+1/2,z'
loop_
_atom_site_label
_atom_site_fract_x
_atom_site_fract_y
_atom_site_fract_z
Al1 0.011 0.000 0.349
Al2 0.089 0.500 0.818
Al3 0.162 0.255 0.583
Al4 0.191 0.256 0.105
Zn1 0.000 0.500 0.500
Zn2 0.154 0.000 0.838
Zn3 0.180 0.000 0.343
Ga1 0.000 0.240 0.000
```

Summary:
- Calculated total energy: -108.81 eV for the cell shown
- Formation enthalpy at 0 K: 0.1542 eV/atom

=====

# 2
This record from Alexandria via LeMat-Bulk describes SrBe2In after structural relaxation. The functional is PBE-GGA.

Geometry as CIF:
```
data_SrBe2In
_space_group_name_H-M_alt 'C 1 2/m 1'
_space_group_IT_number 12
_cell_length_a 7.319
_cell_length_b 4.217
_cell_length_c 6.106
_cell_angle_alpha 90.00
_cell_angle_beta 113.31
_cell_angle_gamma 90.00
loop_
_space_group_symop_operation_xyz
'x,y,z'
'-x,-y,-z'
'-x,y,-z'
'x,-y,z'
'x+1/2,y+1/2,z'
'-x+1/2,-y+1/2,-z'
'-x+1/2,y+1/2,-z'
'x+1/2,-y+1/2,z'
loop_
_atom_site_label
_atom_site_fract_x
_atom_site_fract_y
_atom_site_fract_z
Sr1 0.000 0.000 0.000
Be1 0.191 0.000 0.571
In1 0.000 0.500 0.500
```

Summary:
- Calculated total energy: -22.55 eV for the cell shown
- Formation enthalpy at 0 K: 0.1495 eV/atom

=====

# 3
This record from Alexandria via LeMat-Bulk describes CeHf6Zr8 after structural relaxation. The functional is PBE-GGA.

Geometry as CIF:
```
data_CeHf6Zr8
_space_group_name_H-M_alt 'P -3'
_space_group_IT_number 147
_cell_length_a 8.6931
_cell_length_b 8.6931
_cell_length_c 5.3443
_cell_angle_alpha 90.00
_cell_angle_beta 90.00
_cell_angle_gamma 120.00
loop_
_space_group_symop_operation_xyz
'x,y,z'
'-x,-y,-z'
'-y,x-y,z'
'y,-x+y,-z'
'-x+y,-x,z'
'x-y,x,-z'
loop_
_atom_site_label
_atom_site_fract_x
_atom_site_fract_y
_atom_site_fract_z
Ce1 0.0000 0.0000 0.0000
Hf1 0.1033 0.4814 0.7781
Zr1 0.0568 0.2745 0.2932
Zr2 0.3333 0.6667 0.2901
```

Summary:
- Calculated total energy: -131.38 eV for the cell shown
- Formation enthalpy at 0 K: 0.1771 eV/atom

=====

# 4
This record from Alexandria via LeMat-Bulk describes Dy2PuHg after structural relaxation. The functional is PBE-GGA.

Geometry as CIF:
```
data_Dy2PuHg
_space_group_name_H-M_alt 'R -3 m'
_space_group_IT_number 166
_space_group_name_Hall '-R 3 2"'
_cell_length_a 3.4447
_cell_length_b 3.4447
_cell_length_c 34.5703
_cell_angle_alpha 90.00
_cell_angle_beta 90.00
_cell_angle_gamma 120.00
loop_
_atom_site_label
_atom_site_fract_x
_atom_site_fract_y
_atom_site_fract_z
Dy1 0.0000 0.0000 0.0952
Pu1 0.0000 0.0000 0.0000
Hg1 0.0000 0.0000 0.5000
```

Summary:
- Calculated total energy: -69.71 eV for the cell shown
- Formation enthalpy at 0 K: 0.1505 eV/atom

=====

# 5
This record from Alexandria via LeMat-Bulk describes Cu2Se after structural relaxation. The functional is PBE-GGA.

Geometry as CIF:
```
data_Cu2Se
_space_group_name_H-M_alt 'P -3 1 m'
_space_group_IT_number 162
_space_group_name_Hall '-P 3 2'
_cell_length_a 6.0553
_cell_length_b 6.0553
_cell_length_c 5.7514
_cell_angle_alpha 90.00
_cell_angle_beta 90.00
_cell_angle_gamma 120.00
loop_
_atom_site_label
_atom_site_fract_x
_atom_site_fract_y
_atom_site_fract_z
Cu1 0.0000 0.2556 0.3248
Se1 0.0000 0.0000 0.0000
Se2 0.3333 0.6667 0.5000
```

Summary:
- Calculated total energy: -34.60 eV for the cell shown
- Formation energy (no corrections): 0.048 eV per atom

=====

# 6
This record from Alexandria via LeMat-Bulk describes HgAs2HSe after structural relaxation. The functional is PBE-GGA.

Geometry as CIF:
```
data_HgAs2HSe
_space_group_name_H-M_alt 'P 4/m m m'
_space_group_IT_number 123
_space_group_name_Hall '-P 4 2'
_cell_length_a 3.872
_cell_length_b 3.872
_cell_length_c 7.705
_cell_angle_alpha 90.00
_cell_angle_beta 90.00
_cell_angle_gamma 90.00
loop_
_atom_site_label
_atom_site_fract_x
_atom_site_fract_y
_atom_site_fract_z
Hg1 0.000 0.000 0.000
As1 0.000 0.500 0.500
H1 0.500 0.500 0.500
Se1 0.500 0.500 0.000
```

Summary:
- Calculated total energy: -13.71 eV for the cell shown

=====

# 7
This record from Alexandria via LeMat-Bulk describes Ca2ScMo after structural relaxation. The functional is PBE-GGA.

Geometry as CIF:
```
data_Ca2ScMo
_space_group_name_H-M_alt 'C m m m'
_space_group_IT_number 65
_space_group_name_Hall '-C 2 2'
_cell_length_a 6.159
_cell_length_b 10.285
_cell_length_c 3.147
_cell_angle_alpha 90.00
_cell_angle_beta 90.00
_cell_angle_gamma 90.00
loop_
_atom_site_label
_atom_site_fract_x
_atom_site_fract_y
_atom_site_fract_z
Ca1 0.250 0.250 0.000
Sc1 0.000 0.000 0.500
Mo1 0.000 0.500 0.500
```

Summary:
- Calculated total energy: -36.71 eV for the cell shown
- Formation enthalpy at 0 K: 0.7032 eV/atom

=====

# 8
This record from Alexandria via LeMat-Bulk describes Be2BiCl after structural relaxation. The functional is PBE-GGA.

Geometry as CIF:
```
data_Be2BiCl
_space_group_name_H-M_alt 'F m -3 m'
_space_group_IT_number 225
_space_group_name_Hall '-F 4 2 3'
_cell_length_a 6.658
_cell_length_b 6.658
_cell_length_c 6.658
_cell_angle_alpha 90.00
_cell_angle_beta 90.00
_cell_angle_gamma 90.00
loop_
_atom_site_label
_atom_site_fract_x
_atom_site_fract_y
_atom_site_fract_z
Be1 0.250 0.250 0.250
Bi1 0.000 0.000 0.000
Cl1 0.000 0.000 0.500
```

Summary:
- Calculated total energy: -40.92 eV for the cell shown
- Formation energy (no corrections): 0.737 eV per atom

=====

# 9
This record from Alexandria via LeMat-Bulk describes LiCr2P after structural relaxation. The functional is PBE-GGA.

Geometry as CIF:
```
data_LiCr2P
_space_group_name_H-M_alt 'P 1 2/m 1'
_space_group_IT_number 10
_cell_length_a 2.512
_cell_length_b 3.970
_cell_length_c 4.673
_cell_angle_alpha 90.00
_cell_angle_beta 97.76
_cell_angle_gamma 90.00
loop_
_space_group_symop_operation_xyz
'x,y,z'
'-x,-y,-z'
'-x,y,-z'
'x,-y,z'
loop_
_atom_site_label
_atom_site_fract_x
_atom_site_fract_y
_atom_site_fract_z
Li1 0.000 0.000 0.000
Cr1 0.311 0.500 0.761
P1 0.500 0.000 0.500
```

Summary:
- Calculated total energy: -26.10 eV for the cell shown
- Formation enthalpy at 0 K: 0.1168 eV/atom

=====

# 10
This record from Alexandria via LeMat-Bulk describes PrSm12Tm7 after structural relaxation. The functional is PBE-GGA.

Geometry as CIF:
```
data_PrSm12Tm7
_space_group_name_H-M_alt 'I m -3'
_space_group_IT_number 204
_space_group_name_Hall '-I 2 2 3'
_cell_length_a 11.472
_cell_length_b 11.472
_cell_length_c 11.472
_cell_angle_alpha 90.00
_cell_angle_beta 90.00
_cell_angle_gamma 90.00
loop_
_atom_site_label
_atom_site_fract_x
_atom_site_fract_y
_atom_site_fract_z
Pr1 0.000 0.000 0.000
Sm1 0.000 0.259 0.257
Tm1 0.000 0.000 0.500
Tm2 0.250 0.250 0.250
```

Summary:
- Calculated total energy: -157.95 eV for the cell shown
- Formation enthalpy at 0 K: 0.6868 eV/atom

=====

# 11
This record from Alexandria via LeMat-Bulk describes InPbCl after structural relaxation. The functional is PBE-GGA.

Geometry as CIF:
```
data_InPbCl
_space_group_name_H-M_alt 'C 1 2/m 1'
_space_group_IT_number 12
_cell_length_a 10.687
_cell_length_b 5.264
_cell_length_c 6.454
_cell_angle_alpha 90.00
_cell_angle_beta 104.75
_cell_angle_gamma 90.00
loop_
_space_group_symop_operation_xyz
'x,y,z'
'-x,-y,-z'
'-x,y,-z'
'x,-y,z'
'x+1/2,y+1/2,z'
'-x+1/2,-y+1/2,-z'
'-x+1/2,y+1/2,-z'
'x+1/2,-y+1/2,z'
loop_
_atom_site_label
_atom_site_fract_x
_atom_site_fract_y
_atom_site_fract_z
In1 0.218 0.000 0.311
Pb1 0.029 0.500 0.272
Cl1 0.146 0.000 0.868
```

Summary:
- Calculated total energy: -37.10 eV for the cell shown
- Formation energy (no corrections): -0.327 eV per atom

=====

# 12
This record from Alexandria via LeMat-Bulk describes Co2RhAu after structural relaxation. The functional is PBE-GGA.

Geometry as CIF:
```
data_Co2RhAu
_space_group_name_H-M_alt 'P 1 2/m 1'
_space_group_IT_number 10
_cell_length_a 4.564
_cell_length_b 2.752
_cell_length_c 4.686
_cell_angle_alpha 90.00
_cell_angle_beta 109.65
_cell_angle_gamma 90.00
loop_
_space_group_symop_operation_xyz
'x,y,z'
'-x,-y,-z'
'-x,y,-z'
'x,-y,z'
loop_
_atom_site_label
_atom_site_fract_x
_atom_site_fract_y
_atom_site_fract_z
Co1 0.000 0.000 0.000
Co2 0.000 0.500 0.500
Rh1 0.500 0.000 0.500
Au1 0.500 0.500 0.000
```

Summary:
- Calculated total energy: -23.93 eV for the cell shown
- Formation enthalpy at 0 K: 0.2264 eV/atom